{"formula": "NaDy2PuSe4", "functional": "PBE", "state": "relaxed", "lattice_angstrom": [[7.1484, 0.0000, 0.0000], [0.0000, 4.1081, 0.0000], [-2.3784, 0.0000, 6.8040]], "species": ["Na", "Dy", "Dy", "Pu", "Se", "Se", "Se", "Se"], "frac_coords": [[0.0000, 0.0000, 0.0000], [0.0000, 0.5000, 0.5000], [0.5000, 0.0000, 0.5000], [0.5000, 0.5000, 0.0000], [0.2476, 0.0000, 0.7440], [0.2530, 0.5000, 0.2599], [0.7470, 0.5000, 0.7401], [0.7524, 0.0000, 0.2560]], "magmom_total_mub_per_atom": 0.74, "raw_formation_energy_ev_per_atom": -1.664, "n_ef_per_ev_cell": 13.29}

{"formula": "NaDy3Pu2Se6", "functional": "PBE", "state": "relaxed", "lattice_angstrom": [[9.0191, -2.0511, 0.0000], [9.0191, 2.0511, 0.0000], [-1.9751, 0.0000, 8.0458]], "species": ["Na", "Dy", "Dy", "Dy", "Pu", "Pu", "Se", "Se", "Se", "Se", "Se", "Se"], "frac_coords": [[0.0000, 0.0000, 0.0000], [0.0000, 0.0000, 0.5000], [0.3334, 0.3334, 0.1692], [0.6666, 0.6666, 0.8308], [0.3330, 0.3330, 0.6664], [0.6670, 0.6670, 0.3336], [0.1651, 0.1651, 0.5847], [0.1679, 0.1679, 0.0781], [0.4982, 0.4982, 0.2545], [0.5018, 0.5018, 0.7455], [0.8321, 0.8321, 0.9219], [0.8349, 0.8349, 0.4153]], "magmom_total_mub_per_atom": 0.98, "raw_formation_energy_ev_per_atom": -1.665, "n_ef_per_ev_cell": 21.63}

{"formula": "Na4Dy3PuSe8", "functional": "PBE", "state": "relaxed", "lattice_angstrom": [[4.1678, 2.4063, 6.9884], [-4.1678, 2.4063, 6.9884], [0.0000, -4.8126, 6.9884]], "species": ["Na", "Na", "Na", "Na", "Dy", "Dy", "Dy", "Pu", "Se", "Se", "Se", "Se", "Se", "Se", "Se", "Se"], "frac_coords": [[0.0000, 0.0000, 0.0000], [0.0000, 0.5000, 0.5000], [0.5000, 0.0000, 0.5000], [0.5000, 0.5000, 0.0000], [0.0000, 0.0000, 0.5000], [0.0000, 0.5000, 0.0000], [0.5000, 0.0000, 0.0000], [0.5000, 0.5000, 0.5000], [0.2397, 0.7452, 0.7452], [0.2432, 0.2432, 0.2432], [0.2548, 0.2548, 0.7603], [0.2548, 0.7603, 0.2548], [0.7452, 0.2397, 0.7452], [0.7452, 0.7452, 0.2397], [0.7568, 0.7568, 0.7568], [0.7603, 0.2548, 0.2548]], "magmom_total_mub_per_atom": 0.31, "raw_formation_energy_ev_per_atom": -1.622, "n_ef_per_ev_cell": 12.35}

{"formula": "Na3Dy2PuSe6", "functional": "PBE", "state": "relaxed", "lattice_angstrom": [[3.6192, -6.2685, 0.0000], [3.6192, 6.2685, 0.0000], [-2.4124, 0.0000, 6.9745]], "species": ["Na", "Na", "Na", "Dy", "Dy", "Pu", "Se", "Se", "Se", "Se", "Se", "Se"], "frac_coords": [[0.0000, 0.0000, 0.0000], [0.3341, 0.6659, 0.0000], [0.6659, 0.3341, 0.0000], [0.1667, 0.8333, 0.5000], [0.8333, 0.1667, 0.5000], [0.5000, 0.5000, 0.5000], [0.0860, 0.4233, 0.2699], [0.2394, 0.2394, 0.7302], [0.4233, 0.0860, 0.2699], [0.5767, 0.9140, 0.7301], [0.7606, 0.7606, 0.2698], [0.9140, 0.5767, 0.7301]], "magmom_total_mub_per_atom": 0.42, "raw_formation_energy_ev_per_atom": -1.591, "n_ef_per_ev_cell": 12.70}

{"formula": "Na3DyPu3Se8", "functional": "PBE", "state": "relaxed", "lattice_angstrom": [[7.2569, -4.1870, 0.0000], [7.2569, 4.1870, 0.0000], [-4.8126, 0.0000, 6.9648]], "species": ["Na", "Na", "Na", "Dy", "Pu", "Pu", "Pu", "Se", "Se", "Se", "Se", "Se", "Se", "Se", "Se"], "frac_coords": [[0.0000, 0.0000, 0.0000], [0.0000, 0.5000, 0.0000], [0.5000, 0.0000, 0.0000], [0.0000, 0.0000, 0.5000], [0.0000, 0.5000, 0.5000], [0.5000, 0.0000, 0.5000], [0.5000, 0.5000, 0.5000], [0.2415, 0.2415, 0.7235], [0.2419, 0.7432, 0.7261], [0.2558, 0.2558, 0.2694], [0.2568, 0.7581, 0.2739], [0.7432, 0.2419, 0.7261], [0.7442, 0.7442, 0.7306], [0.7581, 0.2568, 0.2739], [0.7585, 0.7585, 0.2765]], "magmom_total_mub_per_atom": 0.31, "raw_formation_energy_ev_per_atom": -1.422, "n_ef_per_ev_cell": 35.77}

{"formula": "NaDy3Pu2Te6", "functional": "PBE", "state": "relaxed", "lattice_angstrom": [[9.6520, -2.1901, 0.0000], [9.6520, 2.1901, 0.0000], [-2.1408, 0.0000, 8.6207]], "species": ["Na", "Dy", "Dy", "Dy", "Pu", "Pu", "Te", "Te", "Te", "Te", "Te", "Te"], "frac_coords": [[0.0000, 0.0000, 0.0000], [0.0000, 0.0000, 0.5000], [0.3331, 0.3331, 0.1701], [0.6669, 0.6669, 0.8299], [0.3331, 0.3331, 0.6670], [0.6669, 0.6669, 0.3330], [0.1654, 0.1654, 0.5841], [0.1677, 0.1677, 0.0773], [0.4980, 0.4980, 0.2536], [0.5020, 0.5020, 0.7464], [0.8323, 0.8323, 0.9227], [0.8346, 0.8346, 0.4159]], "magmom_total_mub_per_atom": 1.00, "raw_formation_energy_ev_per_atom": -1.236, "n_ef_per_ev_cell": 26.48}

{"formula": "NaDyPu2Te4", "functional": "PBE", "state": "relaxed", "lattice_angstrom": [[7.6662, 0.0000, 0.0000], [0.0000, 4.4324, 0.0000], [-2.5458, 0.0000, 7.3076]], "species": ["Na", "Dy", "Pu", "Pu", "Te", "Te", "Te", "Te"], "frac_coords": [[0.0000, 0.0000, 0.0000], [0.0000, 0.5000, 0.5000], [0.5000, 0.0000, 0.5000], [0.5000, 0.5000, 0.0000], [0.2455, 0.0000, 0.7456], [0.2489, 0.5000, 0.2549], [0.7511, 0.5000, 0.7451], [0.7545, 0.0000, 0.2544]], "magmom_total_mub_per_atom": 1.46, "raw_formation_energy_ev_per_atom": -1.158, "n_ef_per_ev_cell": 22.44}

{"formula": "Na3Dy2PuTe6", "functional": "PBE", "state": "relaxed", "lattice_angstrom": [[3.8616, -6.6888, 0.0000], [3.8616, 6.6888, 0.0000], [-2.5753, 0.0000, 7.5311]], "species": ["Na", "Na", "Na", "Dy", "Dy", "Pu", "Te", "Te", "Te", "Te", "Te", "Te"], "frac_coords": [[0.0000, 0.0000, 0.0000], [0.3344, 0.6656, 0.0000], [0.6656, 0.3344, 0.0000], [0.1667, 0.8333, 0.5000], [0.8333, 0.1667, 0.5000], [0.5000, 0.5000, 0.5000], [0.0847, 0.4223, 0.2672], [0.2400, 0.2400, 0.7329], [0.4223, 0.0847, 0.2672], [0.5777, 0.9153, 0.7328], [0.7600, 0.7600, 0.2671], [0.9153, 0.5777, 0.7328]], "magmom_total_mub_per_atom": 0.42, "raw_formation_energy_ev_per_atom": -1.210, "n_ef_per_ev_cell": 14.26}

Q: Which formula does entry 2 have?
A: NaDy3Pu2Se6